No. 1
A relaxed structure of La4PPb2Se. Source: the Alexandria database, functional PBE-GGA.

Results
Fermi-level density of states: 3.176 states/eV/f.u.
E: -5.66 eV per atom

a b c (Å): 7.4672 4.2949 8.3115
angles (deg): 90.00 107.25 90.00
Atoms (fractional coordinates):
La1 0.2309 0.0000 0.2146
La2 0.2522 0.5000 0.7794
La3 0.7478 0.5000 0.2206
La4 0.7691 0.0000 0.7854
P1 0.0000 0.5000 0.0000
Pb1 0.0000 0.0000 0.5000
Pb2 0.5000 0.5000 0.5000
Se1 0.5000 0.0000 0.0000

No. 2
A relaxed structure of PtCI2N. Source: the Alexandria database, functional PBE-GGA.

Results
Fermi-level density of states: 5.885 states/eV/f.u.
Polymorph energy (0 for the lowest one): 0 meV per atom
E: -4.07 eV per atom

a b c (Å): 6.3622 6.3622 2.6554
angles (deg): 90.00 90.00 90.00
Atoms (fractional coordinates):
Pt1 0.0000 0.0000 0.0000
C1 0.5000 0.5000 0.5000
I1 0.0000 0.5000 0.5000
I2 0.5000 0.0000 0.5000
N1 0.5000 0.5000 0.0000